one.
Density functional theory data (PBEsol) for crystalline LaY2W at its relaxed geometry.

Cell lengths 6.254, 6.254, 6.254 Å; angles 146.50, 129.05, 62.37 degrees
Positions (direct):
La 0.000 0.000 0.000
Y 0.411 0.411 0.000
Y 0.703 0.203 0.500
W 0.191 0.691 0.500

## Properties
M_tot in μB/cell: 0.00
Crystal system: orthorhombic

two.
Density functional theory data (PBEsol) for crystalline LaY2W at its relaxed geometry.

Cell lengths 3.139, 4.855, 6.564 Å; angles 90.00, 90.00, 90.00 degrees
Positions (direct):
La 0.000 0.000 0.000
Y 0.000 0.000 0.443
Y 0.500 0.500 0.711
W 0.500 0.500 0.235

## Properties
M_tot in μB/cell: 0.00
Crystal system: orthorhombic

Result of the stability comparison: two is the least stable of them.

one.
Density functional theory data (PBEsol) for crystalline La2YW at its relaxed geometry.

Cell lengths 3.257, 3.257, 10.993 Å; angles 90.00, 90.00, 113.98 degrees
Positions (direct):
La 0.000 0.000 0.204
La 0.000 0.000 0.796
Y 0.500 0.500 0.500
W 0.500 0.500 0.000

## Properties
M_tot in μB/cell: 0.00
Crystal system: orthorhombic

two.
Density functional theory data (PBEsol) for crystalline La2YW at its relaxed geometry.

Cell lengths 3.322, 4.845, 6.573 Å; angles 90.00, 102.24, 90.00 degrees
Positions (direct):
La 0.000 0.000 0.000
La 0.359 0.500 0.723
Y 0.775 0.000 0.439
W 0.248 0.500 0.245

## Properties
M_tot in μB/cell: 0.00
Crystal system: monoclinic

Result of the stability comparison: one is the least stable of them.

one.
Density functional theory data (PBEsol) for crystalline LaZnW at its relaxed geometry.

Cell lengths 5.913, 5.913, 5.913 Å; angles 150.87, 142.38, 48.28 degrees
Positions (direct):
La 0.000 0.000 0.000
Zn 0.294 0.294 0.000
W 0.697 0.697 0.000

## Properties
M_tot in μB/cell: 0.00
Crystal system: orthorhombic

two.
Density functional theory data (PBEsol) for crystalline LaZnW at its relaxed geometry.

Cell lengths 4.912, 4.912, 2.884 Å; angles 90.00, 90.00, 120.00 degrees
Positions (direct):
La 0.000 0.000 0.000
Zn 0.667 0.333 0.500
W 0.333 0.667 0.500

## Properties
M_tot in μB/cell: 0.00
Crystal system: hexagonal

Result of the stability comparison: two is the least stable of them.

one.
Density functional theory data (PBEsol) for crystalline LaY4 at its relaxed geometry.

Cell lengths 14.523, 14.523, 14.523 Å; angles 13.99, 13.99, 13.99 degrees
Positions (direct):
La 0.000 0.000 0.000
Y 0.200 0.200 0.200
Y 0.401 0.401 0.401
Y 0.599 0.599 0.599
Y 0.800 0.800 0.800

## Properties
M_tot in μB/cell: 0.00
Crystal system: trigonal

two.
Density functional theory data (PBEsol) for crystalline LaY4 at its relaxed geometry.

Cell lengths 6.127, 6.127, 6.127 Å; angles 99.65, 99.65, 131.67 degrees
Positions (direct):
La 0.000 0.000 0.000
Y 0.199 0.599 0.799
Y 0.401 0.199 0.600
Y 0.599 0.801 0.400
Y 0.801 0.401 0.201

## Properties
M_tot in μB/cell: 0.00
Crystal system: tetragonal

Result of the stability comparison: two is the least stable of them.

one.
Density functional theory data (PBEsol) for crystalline LaY2 at its relaxed geometry.

Cell lengths 5.664, 5.664, 3.442 Å; angles 90.00, 90.00, 120.00 degrees
Positions (direct):
La 0.000 0.000 0.000
Y 0.333 0.667 0.500
Y 0.667 0.333 0.500

## Properties
M_tot in μB/cell: 0.00
Crystal system: hexagonal

two.
Density functional theory data (PBEsol) for crystalline LaY2 at its relaxed geometry.

Cell lengths 5.608, 5.608, 7.059 Å; angles 90.00, 90.00, 120.00 degrees
Positions (direct):
La 0.333 0.667 0.250
La 0.667 0.333 0.750
Y 0.000 0.000 0.000
Y 0.000 0.000 0.500
Y 0.333 0.667 0.750
Y 0.667 0.333 0.250

## Properties
M_tot in μB/cell: 0.00
Crystal system: hexagonal

three.
Density functional theory data (PBEsol) for crystalline LaY2 at its relaxed geometry.

Cell lengths 7.933, 7.933, 7.933 Å; angles 153.98, 153.98, 37.12 degrees
Positions (direct):
La 0.000 0.000 0.000
Y 0.332 0.332 0.000
Y 0.668 0.668 0.000

## Properties
M_tot in μB/cell: 0.00
Crystal system: tetragonal

Result of the stability comparison: two is the least stable of them.

one.
Density functional theory data (PBEsol) for crystalline LaY2 at its relaxed geometry.

Cell lengths 6.737, 6.737, 8.465 Å; angles 103.33, 103.33, 31.11 degrees
Positions (direct):
La 0.000 0.000 0.000
La 0.662 0.662 0.330
Y 0.052 0.052 0.609
Y 0.331 0.331 0.661
Y 0.383 0.383 0.275
Y 0.723 0.723 0.935

## Properties
M_tot in μB/cell: 0.00
Crystal system: monoclinic

two.
Density functional theory data (PBEsol) for crystalline LaY2 at its relaxed geometry.

Cell lengths 9.712, 9.712, 3.509 Å; angles 90.00, 90.00, 120.00 degrees
Positions (direct):
La 0.000 0.000 0.000
La 0.333 0.667 0.500
La 0.667 0.333 0.500
Y 0.000 0.312 0.500
Y 0.000 0.649 0.000
Y 0.312 0.000 0.500
Y 0.351 0.351 0.000
Y 0.649 0.000 0.000
Y 0.688 0.688 0.500

## Properties
M_tot in μB/cell: 0.00
Crystal system: hexagonal

Result of the stability comparison: two is the least stable of them.

one.
Density functional theory data (PBEsol) for crystalline LaY2 at its relaxed geometry.

Cell lengths 6.745, 6.745, 8.453 Å; angles 103.22, 103.22, 31.23 degrees
Positions (direct):
La 0.027 0.027 0.303
La 0.973 0.973 0.697
Y 0.304 0.304 0.361
Y 0.358 0.358 0.973
Y 0.642 0.642 0.027
Y 0.696 0.696 0.639

## Properties
M_tot in μB/cell: 0.00
Crystal system: monoclinic

two.
Density functional theory data (PBEsol) for crystalline LaY2 at its relaxed geometry.

Cell lengths 6.139, 6.139, 6.139 Å; angles 146.26, 131.50, 60.39 degrees
Positions (direct):
La 0.000 0.000 0.000
Y 0.332 0.332 0.000
Y 0.668 0.668 0.000

## Properties
M_tot in μB/cell: 0.00
Crystal system: orthorhombic

Result of the stability comparison: one is the least stable of them.

one.
Density functional theory data (PBEsol) for crystalline LaY2Zn at its relaxed geometry.

Cell lengths 3.691, 5.340, 5.498 Å; angles 90.00, 90.00, 90.00 degrees
Positions (direct):
La 0.000 0.000 0.000
Y 0.000 0.500 0.500
Y 0.500 0.500 0.000
Zn 0.500 0.000 0.500

## Properties
M_tot in μB/cell: 0.00
Crystal system: orthorhombic

two.
Density functional theory data (PBEsol) for crystalline LaY2Zn at its relaxed geometry.

Cell lengths 6.566, 6.566, 6.566 Å; angles 147.68, 133.18, 58.04 degrees
Positions (direct):
La 0.000 0.000 0.000
Y 0.421 0.421 0.000
Y 0.710 0.210 0.500
Zn 0.223 0.723 0.500

## Properties
M_tot in μB/cell: 0.00
Crystal system: orthorhombic

three.
Density functional theory data (PBEsol) for crystalline LaY2Zn at its relaxed geometry.

Cell lengths 3.544, 3.544, 8.650 Å; angles 90.00, 90.00, 90.00 degrees
Positions (direct):
La 0.000 0.000 0.000
Y 0.500 0.500 0.301
Y 0.500 0.500 0.699
Zn 0.000 0.000 0.500

## Properties
M_tot in μB/cell: 0.00
Crystal system: tetragonal

Result of the stability comparison: one is the least stable of them.

one.
Density functional theory data (PBEsol) for crystalline LaZrZn3 at its relaxed geometry.

Cell lengths 4.994, 4.994, 4.994 Å; angles 90.00, 90.00, 90.00 degrees
Positions (direct):
La 0.000 0.000 0.000
Zr 0.500 0.500 0.500
Zn 0.000 0.500 0.500
Zn 0.500 0.000 0.500
Zn 0.500 0.500 0.000

## Properties
M_tot in μB/cell: 0.00
Crystal system: cubic

two.
Density functional theory data (PBEsol) for crystalline LaZrZn3 at its relaxed geometry.

Cell lengths 5.090, 5.090, 5.090 Å; angles 90.00, 90.00, 90.00 degrees
Positions (direct):
La 0.000 0.000 0.000
Zr 0.500 0.500 0.500
Zn 0.000 0.000 0.500
Zn 0.000 0.500 0.000
Zn 0.500 0.000 0.000

## Properties
M_tot in μB/cell: 0.00
Crystal system: cubic

Result of the stability comparison: two is the least stable of them.

one.
Density functional theory data (PBEsol) for crystalline LaZr at its relaxed geometry.

Cell lengths 3.327, 3.327, 11.288 Å; angles 90.00, 90.00, 120.00 degrees
Positions (direct):
La 0.333 0.667 0.355
La 0.667 0.333 0.645
Zr 0.333 0.667 0.892
Zr 0.667 0.333 0.108

## Properties
M_tot in μB/cell: 0.00
Crystal system: trigonal

two.
Density functional theory data (PBEsol) for crystalline LaZr at its relaxed geometry.

Cell lengths 5.314, 5.314, 5.314 Å; angles 60.00, 60.00, 60.00 degrees
Positions (direct):
La 0.125 0.125 0.125
La 0.875 0.875 0.875
Zr 0.375 0.375 0.375
Zr 0.625 0.625 0.625

## Properties
M_tot in μB/cell: 0.00
Crystal system: cubic

Result of the stability comparison: two is the least stable of them.

one.
Density functional theory data (PBEsol) for crystalline LaZr at its relaxed geometry.

Cell lengths 5.725, 5.725, 5.725 Å; angles 34.31, 34.31, 34.31 degrees
Positions (direct):
La 0.000 0.000 0.000
Zr 0.500 0.500 0.500

## Properties
M_tot in μB/cell: 0.00
Crystal system: trigonal

two.
Density functional theory data (PBEsol) for crystalline LaZr at its relaxed geometry.

Cell lengths 6.570, 6.570, 6.570 Å; angles 150.16, 130.09, 59.24 degrees
Positions (direct):
La 0.372 0.122 0.250
La 0.628 0.878 0.750
Zr 0.110 0.360 0.750
Zr 0.890 0.640 0.250

## Properties
M_tot in μB/cell: 0.00
Crystal system: orthorhombic

Result of the stability comparison: one is the least stable of them.

one.
Density functional theory data (PBEsol) for crystalline LaZr2 at its relaxed geometry.

Cell lengths 3.260, 3.260, 16.390 Å; angles 90.00, 90.00, 120.00 degrees
Positions (direct):
La 0.000 0.000 0.171
La 0.000 0.000 0.829
Zr 0.000 0.000 0.500
Zr 0.333 0.667 0.000
Zr 0.333 0.667 0.348
Zr 0.333 0.667 0.652

## Properties
M_tot in μB/cell: 0.00
Crystal system: hexagonal

two.
Density functional theory data (PBEsol) for crystalline LaZr2 at its relaxed geometry.

Cell lengths 6.315, 6.315, 6.315 Å; angles 53.87, 53.87, 53.87 degrees
Positions (direct):
La 0.149 0.149 0.149
La 0.851 0.851 0.851
Zr 0.000 0.616 0.384
Zr 0.384 0.000 0.616
Zr 0.500 0.500 0.500
Zr 0.616 0.384 0.000

## Properties
M_tot in μB/cell: 0.00
Crystal system: trigonal

three.
Density functional theory data (PBEsol) for crystalline LaZr2 at its relaxed geometry.

Cell lengths 5.763, 5.763, 5.763 Å; angles 141.03, 141.03, 56.29 degrees
Positions (direct):
La 0.000 0.000 0.000
Zr 0.319 0.319 0.000
Zr 0.681 0.681 0.000

## Properties
M_tot in μB/cell: 0.00
Crystal system: tetragonal

four.
Density functional theory data (PBEsol) for crystalline LaZr2 at its relaxed geometry.

Cell lengths 5.140, 5.140, 3.209 Å; angles 90.00, 90.00, 90.00 degrees
Positions (direct):
La 0.000 0.000 0.000
Zr 0.000 0.500 0.500
Zr 0.500 0.000 0.500

## Properties
M_tot in μB/cell: 0.00
Crystal system: tetragonal

Result of the stability comparison: four is the least stable of them.